No. 1
Here is crystalline Pm2Sm3Y at its relaxed geometry from Alexandria via LeMat-Bulk. Energies are from PBE-GGA.

Cell: 6.9032 6.9032 17.7327 Å, 101.85 101.85 30.00°
Fractional coordinates of all 12 atoms:
Pm (0.1317, 0.1317, 0.0001)
Pm (0.2981, 0.2981, 0.6640)
Pm (0.7019, 0.7019, 0.3360)
Pm (0.8683, 0.8683, 0.9999)
Sm (0.1267, 0.1267, 0.4893)
Sm (0.2275, 0.2275, 0.8341)
Sm (0.4372, 0.4372, 0.3357)
Sm (0.5628, 0.5628, 0.6643)
Sm (0.7725, 0.7725, 0.1659)
Sm (0.8733, 0.8733, 0.5107)
Y (0.0436, 0.0436, 0.1825)
Y (0.9564, 0.9564, 0.8175)

Properties
Formation energy from the elements ... 0.102 eV/atom
Offset from the most stable computed form ... 37.2 meV per atom
Magnetization ... 0.000 μB/f.u.
D(E_F) ... 20.33 states/eV per cell



No. 2
Here is crystalline Dy4In2AgHg at its relaxed geometry from Alexandria via LeMat-Bulk. Energies are from PBE-GGA.

Cell: 9.1447 9.1447 9.1447 Å, 33.50 33.50 33.50°
Fractional coordinates of all 8 atoms:
Dy (0.1241, 0.1241, 0.1241)
Dy (0.3742, 0.3742, 0.3742)
Dy (0.6258, 0.6258, 0.6258)
Dy (0.8759, 0.8759, 0.8759)
In (0.2509, 0.2509, 0.2509)
In (0.7491, 0.7491, 0.7491)
Ag (0.0000, 0.0000, 0.0000)
Hg (0.5000, 0.5000, 0.5000)

Properties
Formation energy from the elements ... -0.429 eV/atom
Magnetization ... 0.002 μB/f.u.
D(E_F) ... 7.90 states/eV per cell



No. 3
Here is crystalline KAl2B at its relaxed geometry from Alexandria via LeMat-Bulk. Energies are from PBE-GGA.

Cell: 6.6356 6.6356 6.6356 Å, 90.00 90.00 90.00°
Fractional coordinates of all 16 atoms:
K (0.0000, 0.0000, 0.0000)
K (0.0000, 0.5000, 0.5000)
K (0.5000, 0.0000, 0.5000)
K (0.5000, 0.5000, 0.0000)
Al (0.2500, 0.2500, 0.2500)
Al (0.2500, 0.2500, 0.7500)
Al (0.2500, 0.7500, 0.2500)
Al (0.2500, 0.7500, 0.7500)
Al (0.7500, 0.2500, 0.2500)
Al (0.7500, 0.2500, 0.7500)
Al (0.7500, 0.7500, 0.2500)
Al (0.7500, 0.7500, 0.7500)
B (0.0000, 0.0000, 0.5000)
B (0.0000, 0.5000, 0.0000)
B (0.5000, 0.0000, 0.0000)
B (0.5000, 0.5000, 0.5000)

Properties
Formation energy from the elements ... 1.203 eV/atom
Offset from the most stable computed form ... 679.6 meV per atom
Magnetization ... 0.000 μB/f.u.
D(E_F) ... 3.02 states/eV per cell



No. 4
Here is crystalline YHoIn at its relaxed geometry from Alexandria via LeMat-Bulk. Energies are from PBE-GGA.

Cell: 4.5967 4.5967 8.3670 Å, 90.00 90.00 90.00°
Fractional coordinates of all 6 atoms:
Y (0.2500, 0.2500, 0.1469)
Y (0.7500, 0.7500, 0.8531)
Ho (0.2500, 0.7500, 0.5000)
Ho (0.7500, 0.2500, 0.5000)
In (0.2500, 0.2500, 0.7703)
In (0.7500, 0.7500, 0.2297)

Properties
Formation energy from the elements ... -0.295 eV/atom
Offset from the most stable computed form ... 32.4 meV per atom
Magnetization ... 0.385 μB/f.u.
D(E_F) ... 8.62 states/eV per cell



Among the records above, which one has the lowest D(E_F)?
KAl2B



Which formula does entry 4 have?
YHoIn